1.
Entry from Alexandria via LeMat-Bulk: an optimized crystal structure of Li4Tl2Cd (PBE-GGA).

Lattice parameters (Å, degrees): 7.605 7.605 7.605 37.24 37.24 37.24
Fractional coordinates of all 7 atoms:
Li  0.090  0.090  0.090
Li  0.366  0.366  0.366
Li  0.634  0.634  0.634
Li  0.910  0.910  0.910
Tl  0.236  0.236  0.236
Tl  0.764  0.764  0.764
Cd  0.500  0.500  0.500

***

2.
Entry from Alexandria via LeMat-Bulk: an optimized crystal structure of CrIrPt2 (PBE-GGA).

Lattice parameters (Å, degrees): 9.104 9.104 9.104 17.23 17.23 17.23
Fractional coordinates of all 4 atoms:
Cr  0.000  0.000  0.000
Ir  0.500  0.500  0.500
Pt  0.255  0.255  0.255
Pt  0.745  0.745  0.745

***

3.
Entry from Alexandria via LeMat-Bulk: an optimized crystal structure of AcPm15Y4 (PBE-GGA).

Lattice parameters (Å, degrees): 5.170 5.170 25.801 90.00 90.00 90.00
Fractional coordinates of all 20 atoms:
Ac  0.000  0.000  0.000
Pm  0.000  0.500  0.105
Pm  0.000  0.500  0.302
Pm  0.000  0.500  0.500
Pm  0.000  0.500  0.698
Pm  0.000  0.500  0.895
Pm  0.500  0.000  0.105
Pm  0.500  0.000  0.302
Pm  0.500  0.000  0.500
Pm  0.500  0.000  0.698
Pm  0.500  0.000  0.895
Pm  0.500  0.500  0.000
Pm  0.500  0.500  0.204
Pm  0.500  0.500  0.401
Pm  0.500  0.500  0.599
Pm  0.500  0.500  0.796
Y  0.000  0.000  0.203
Y  0.000  0.000  0.401
Y  0.000  0.000  0.599
Y  0.000  0.000  0.797

***

ΔH_f (0 K) in kJ/mol of formula units, matching the order above: -121.9; -3.1; 37.7